Computed, not measured: a relaxed ZnAgF5 crystal at the GGA-PBEsol level of DFT.

Cell: 5.0268 5.7892 7.2506 Å, 105.22 91.75 103.73°
Last column: nearest neighbours and their distance in Å.
Atoms (fractional coordinates):
1 Zn 0.0270 0.2043 0.1964  6 F 1.93-2.08
2 Zn 0.9730 0.7957 0.8036  6 F 1.93-2.08
3 Ag 0.5000 0.0000 0.5000  4 F 1.92-1.96
4 Ag 0.5000 0.5000 0.0000  4 F 1.94-2.01
5 F 0.1537 0.8080 0.5606  1 Ag 1.96, 1 Zn 2.02
6 F 0.2003 0.1203 0.9376  2 Zn 1.93-2.08
7 F 0.2160 0.6094 0.8851  1 Ag 1.94, 1 Zn 1.98
8 F 0.3113 0.0549 0.2868  1 Ag 1.92, 1 Zn 2.01
9 F 0.3203 0.5206 0.2449  1 Zn 2.00, 1 Ag 2.01
10 F 0.6797 0.4794 0.7551  1 Zn 2.00, 1 Ag 2.01
11 F 0.6887 0.9451 0.7132  1 Ag 1.92, 1 Zn 2.01
12 F 0.7840 0.3906 0.1149  1 Ag 1.94, 1 Zn 1.98
13 F 0.7997 0.8797 0.0624  2 Zn 1.93-2.08
14 F 0.8463 0.1920 0.4394  1 Ag 1.96, 1 Zn 2.02

Fermi-level density of states: 3.0 states/eV per cell
Formation energy from raw total energies: -1.532 eV per atom
Calculated volume: 14.1 Å³ per atom

=====

Computed, not measured: a relaxed ZnAgF3 crystal at the GGA-PBEsol level of DFT.

Cell: 6.2838 6.2838 6.2838 Å, 50.63 50.63 50.63°
Last column: nearest neighbours and their distance in Å.
Atoms (fractional coordinates):
1 Zn 0.1597 0.1597 0.1597  6 F 2.01-2.07
2 Zn 0.8403 0.8403 0.8403  6 F 2.01-2.07
3 Ag 0.3548 0.3548 0.3548  6 F 2.38-2.54
4 Ag 0.6452 0.6452 0.6452  6 F 2.38-2.54
5 F 0.0463 0.8036 0.4406  2 Zn 2.01-2.07
6 F 0.1964 0.5594 0.9537  2 Zn 2.01-2.07
7 F 0.4406 0.0463 0.8036  2 Zn 2.01-2.07
8 F 0.5594 0.9537 0.1964  2 Zn 2.01-2.07
9 F 0.8036 0.4406 0.0463  2 Zn 2.01-2.07
10 F 0.9537 0.1964 0.5594  2 Zn 2.01-2.07

Formation energy from raw total energies: -1.718 eV per atom
Calculated volume: 13.7 Å³ per atom

=====

Computed, not measured: a relaxed Zr2ZnAg2F14 crystal at the GGA-PBEsol level of DFT.

Cell: 5.5905 5.5905 9.1300 Å, 90.47 90.47 72.58°
Last column: nearest neighbours and their distance in Å.
Atoms (fractional coordinates):
1 Zr 0.1059 0.1059 0.2058  7 F 2.00-2.10
2 Zr 0.8941 0.8941 0.7942  7 F 2.00-2.10
3 Zn 0.5000 0.5000 0.0000  6 F 2.01-2.04
4 Ag 0.3096 0.3096 0.6103  4 F 2.00-2.12
5 Ag 0.6904 0.6904 0.3897  4 F 2.00-2.12
6 F 0.0000 0.0000 0.0000  2 Zr 2.10
7 F 0.9996 0.3598 0.3812  1 Zr 2.10, 1 Ag 2.12
8 F 0.0004 0.6402 0.6188  1 Zr 2.10, 1 Ag 2.12
9 F 0.1015 0.1015 0.7130  1 Zr 2.02, 1 Ag 2.11
10 F 0.2144 0.6181 0.8561  1 Zn 2.01, 1 Zr 2.06
11 F 0.3060 0.3060 0.1143  1 Zr 2.00, 1 Zn 2.04
12 F 0.3598 0.9996 0.3812  1 Zr 2.10, 1 Ag 2.12
13 F 0.3819 0.7856 0.1439  1 Zn 2.01, 1 Zr 2.06
14 F 0.5000 0.5000 0.5000  2 Ag 2.00
15 F 0.6181 0.2144 0.8561  1 Zn 2.01, 1 Zr 2.06
16 F 0.6402 0.0004 0.6188  1 Zr 2.10, 1 Ag 2.12
17 F 0.6940 0.6940 0.8857  1 Zr 2.00, 1 Zn 2.04
18 F 0.7856 0.3819 0.1439  1 Zn 2.01, 1 Zr 2.06
19 F 0.8985 0.8985 0.2870  1 Zr 2.02, 1 Ag 2.11

Fermi-level density of states: 0.7 states/eV per cell
Formation energy from raw total energies: -2.699 eV per atom
Calculated volume: 14.3 Å³ per atom

=====

Computed, not measured: a relaxed ZrAg2F crystal at the GGA-PBEsol level of DFT.

Cell: 4.5860 4.5860 4.5860 Å, 60.00 60.00 60.00°
Last column: nearest neighbours and their distance in Å.
Atoms (fractional coordinates):
1 Zr 0.0000 0.0000 0.0000  8 Ag 2.81
2 Ag 0.2500 0.2500 0.2500  4 F 2.81, 4 Zr 2.81
3 Ag 0.7500 0.7500 0.7500  4 F 2.81, 4 Zr 2.81
4 F 0.5000 0.5000 0.5000  8 Ag 2.81

Fermi-level density of states: 2.7 states/eV per cell
Formation energy from raw total energies: -0.130 eV per atom
Calculated volume: 17.1 Å³ per atom